Below is crystalline Ag2SbMo at its relaxed geometry, with properties calculated at the PBE-GGA level.

a = 3.238 Å, b = 4.525 Å, c = 5.064 Å
α = 90.00°, β = 90.00°, γ = 90.00°
Space group Pmmm (No. 47)
Asymmetric unit:
Ag  0.000  0.000  0.000 [1 per cell]
Ag  0.500  0.500  0.000 [1 per cell]
Sb  0.000  0.500  0.500 [1 per cell]
Mo  0.500  0.000  0.500 [1 per cell]

Total magnetic moment in μB per atom: 0.000
Formation energy (no corrections) in meV per atom: 374
Density in g/cm³: 9.701
Total energy in eV/atom: -4.79